(1)
First-principles (PBEsol) data for Zr3Cr after structural relaxation, as listed in the Alexandria database. Values from VASP.

Output
N(E_F) ... 5.676 states/eV/f.u.
ΔE_f ... 0.2682 eV/atom
Total moment ... 1.80 μB per formula unit

Cell and atoms, written as Quantum ESPRESSO input:
```
&SYSTEM
  ibrav = 0, nat = 4, ntyp = 2
/
ATOMIC_SPECIES
Zr 91.22 Zr.upf
Cr 52.00 Cr.upf
CELL_PARAMETERS angstrom
-1.0578 -2.9776 0.9423
1.7238 0.7948 4.4469
-4.2427 1.9192 1.3017
ATOMIC_POSITIONS angstrom
Zr 0.3330 -1.0914 2.6946
Cr 0.0000 0.0000 0.0000
Zr -1.2594 1.3570 2.8743
Zr -2.6502 -0.5292 1.1220
```

(2)
First-principles (PBEsol) data for ZrCr2 after structural relaxation, as listed in the Alexandria database. Values from VASP.

Output
N(E_F) ... 2.021 states/eV/f.u.
ΔE_f ... -0.0346 eV/atom
Total moment ... 0.00 μB per formula unit

Cell and atoms, written as Quantum ESPRESSO input:
```
&SYSTEM
  ibrav = 0, nat = 6, ntyp = 2
/
ATOMIC_SPECIES
Cr 52.00 Cr.upf
Zr 91.22 Zr.upf
CELL_PARAMETERS angstrom
4.9785 0.0000 0.0000
2.4892 4.3115 0.0000
2.4892 1.4372 4.0649
ATOMIC_POSITIONS angstrom
Cr 6.2231 3.5929 2.5406
Cr 4.9785 1.4372 2.5406
Cr 3.7339 3.5929 2.5406
Zr 2.4892 1.4372 1.0162
Cr 4.9785 2.8743 0.5081
Zr 0.0000 0.0000 0.0000
```

(3)
First-principles (PBEsol) data for ZrCr2 after structural relaxation, as listed in the Alexandria database. Values from VASP.

Output
N(E_F) ... 2.215 states/eV/f.u.
ΔE_f ... -0.0269 eV/atom
Total moment ... 0.00 μB per formula unit

Cell and atoms, written as Quantum ESPRESSO input:
```
&SYSTEM
  ibrav = 0, nat = 24, ntyp = 2
/
ATOMIC_SPECIES
Zr 91.22 Zr.upf
Cr 52.00 Cr.upf
CELL_PARAMETERS angstrom
-1.6574 4.7058 -0.2879
-1.1635 -2.8213 3.9574
13.2932 5.1454 7.5766
ATOMIC_POSITIONS angstrom
Zr 5.3884 2.0857 3.0712
Cr 9.3092 3.7037 6.9471
Zr 7.2274 5.5721 6.0974
Cr 0.1418 2.8295 2.0589
Zr 7.9048 3.0597 4.5054
Cr 1.1631 3.3262 4.2990
Cr -0.8287 2.3529 -0.1439
Zr 0.7454 0.4904 3.7241
Cr 5.8179 4.9256 3.6444
Cr -0.5817 -1.4106 1.9787
Cr -1.4105 0.9422 1.8348
Cr 8.7245 2.2859 8.9359
Cr 10.3304 4.2005 9.1872
Cr 1.7478 4.7440 2.3102
Cr 7.8915 4.6508 8.7912
Cr 5.2361 3.5150 5.6230
Zr 9.7268 6.5396 7.5219
Zr 1.2582 0.4870 0.7171
Zr 3.2449 1.4578 5.1487
Cr 2.5807 2.3791 2.4549
Zr 12.0349 4.6584 6.8594
Cr 3.5192 4.1368 3.9838
Cr 6.0648 1.1621 5.7670
Cr 6.9531 2.8932 7.2622
```

(4)
First-principles (PBEsol) data for Zr3Cr after structural relaxation, as listed in the Alexandria database. Values from VASP.

Output
N(E_F) ... 6.296 states/eV/f.u.
ΔE_f ... 0.3086 eV/atom
Total moment ... 2.91 μB per formula unit

Cell and atoms, written as Quantum ESPRESSO input:
```
&SYSTEM
  ibrav = 0, nat = 4, ntyp = 2
/
ATOMIC_SPECIES
Zr 91.22 Zr.upf
Cr 52.00 Cr.upf
CELL_PARAMETERS angstrom
4.2496 0.0000 0.0000
0.0000 4.2496 0.0000
-2.1248 -2.1248 4.3993
ATOMIC_POSITIONS angstrom
Zr 0.0000 2.1248 2.1996
Zr 2.1248 2.1248 0.0000
Cr 0.0000 0.0000 0.0000
Zr 2.1248 0.0000 2.1996
```

(5)
First-principles (PBEsol) data for CsDy2Cu3S5 after structural relaxation, as listed in the Alexandria database. Values from VASP.

Output
Formation energy from raw total energies ... -1.2865 eV/atom
Total moment ... 0.00 μB per formula unit

Cell and atoms, written as Quantum ESPRESSO input:
```
&SYSTEM
  ibrav = 0, nat = 22, ntyp = 4
/
ATOMIC_SPECIES
S 32.06 S.upf
Cu 63.55 Cu.upf
Dy 162.50 Dy.upf
Cs 132.91 Cs.upf
CELL_PARAMETERS angstrom
3.8943 0.0000 0.0000
-1.9472 6.9073 0.0000
0.0000 0.0000 16.4824
ATOMIC_POSITIONS angstrom
S 1.9472 0.8333 6.4357
S 0.0000 2.3154 15.3402
Cu 0.0000 5.7284 7.6666
Cu 0.0000 4.7717 12.3618
Dy 1.9472 4.2484 14.9692
Cu 1.9472 1.1789 8.8157
Dy 1.9472 4.2484 9.7543
S 1.9472 4.5919 1.1421
S 0.0000 3.2159 4.1206
S 1.9472 3.6914 12.3618
S 0.0000 6.0740 10.0467
Cu 1.9472 1.1789 15.9078
S 0.0000 6.0740 14.6769
S 0.0000 2.3154 9.3833
Dy 0.0000 2.6589 1.5131
Cs 0.0000 0.8811 12.3618
Cu 1.9472 2.1356 4.1206
Dy 0.0000 2.6589 6.7280
S 1.9472 0.8333 1.8055
S 1.9472 4.5919 7.0990
Cs 1.9472 6.0262 4.1206
Cu 0.0000 5.7284 0.5746
```

(6)
First-principles (PBEsol) data for CsDy2Cu3Se5 after structural relaxation, as listed in the Alexandria database. Values from VASP.

Output
Formation energy from raw total energies ... -1.1263 eV/atom
Total moment ... 0.00 μB per formula unit

Cell and atoms, written as Quantum ESPRESSO input:
```
&SYSTEM
  ibrav = 0, nat = 22, ntyp = 4
/
ATOMIC_SPECIES
Cu 63.55 Cu.upf
Se 78.96 Se.upf
Dy 162.50 Dy.upf
Cs 132.91 Cs.upf
CELL_PARAMETERS angstrom
4.0595 0.0000 0.0000
-2.0298 7.1915 0.0000
0.0000 0.0000 17.0684
ATOMIC_POSITIONS angstrom
Cu 2.0298 2.2469 12.8013
Cu 0.0000 5.9714 16.5692
Se 0.0000 2.3896 7.3226
Dy 0.0000 2.7733 10.0936
Cu 2.0298 1.2201 0.4991
Cu 0.0000 5.9714 9.0333
Se 2.0298 0.8531 15.1302
Se 2.0298 0.8531 10.4724
Cu 0.0000 4.9446 4.2671
Se 0.0000 3.4508 12.8013
Se 0.0000 2.3896 1.2116
Se 2.0298 4.8019 9.7458
Se 2.0298 3.7407 4.2671
Se 0.0000 6.3385 1.9382
Se 0.0000 6.3385 6.5960
Cu 2.0298 1.2201 8.0350
Dy 2.0298 4.4182 6.9747
Dy 0.0000 2.7733 15.5089
Se 2.0298 4.8019 15.8568
Cs 2.0298 6.3194 12.8013
Cs 0.0000 0.8722 4.2671
Dy 2.0298 4.4182 1.5595
```

no.,DFT total energy (eV/f.u.)
1,-36.439
2,-29.678
3,-29.654
4,-36.277
5,-59.974
6,-55.542